A plane-wave DFT calculation with PBE was carried out for a relaxed structure of Sr4SnHg3.

abc: 5.6926 5.6926 16.0317
angles: 90.00 90.00 90.00
Last column: nearest neighbours and their distance in Å.
Element x y z (fractional)
Sr1 0.0000 0.5000 0.1260  6 Hg 3.47-3.49, 2 Sn 3.49
Sr2 0.0000 0.5000 0.3740  6 Hg 3.47-3.49, 2 Sn 3.49
Sr3 0.0000 0.5000 0.6260  6 Hg 3.47-3.49, 2 Sn 3.49
Sr4 0.0000 0.5000 0.8740  6 Hg 3.47-3.49, 2 Sn 3.49
Sr5 0.5000 0.0000 0.1260  6 Hg 3.47-3.49, 2 Sn 3.49
Sr6 0.5000 0.0000 0.3740  6 Hg 3.47-3.49, 2 Sn 3.49
Sr7 0.5000 0.0000 0.6260  6 Hg 3.47-3.49, 2 Sn 3.49
Sr8 0.5000 0.0000 0.8740  6 Hg 3.47-3.49, 2 Sn 3.49
Sn1 0.0000 0.0000 0.0000  8 Sr 3.49
Sn2 0.5000 0.5000 0.5000  8 Sr 3.49
Hg1 0.0000 0.0000 0.2497  8 Sr 3.47
Hg2 0.0000 0.0000 0.5000  8 Sr 3.49
Hg3 0.0000 0.0000 0.7503  8 Sr 3.47
Hg4 0.5000 0.5000 0.0000  8 Sr 3.49
Hg5 0.5000 0.5000 0.2503  8 Sr 3.47
Hg6 0.5000 0.5000 0.7497  8 Sr 3.47

Properties
Space-group type = I4/mmm, No. 139
E_tot = -32.62 eV per cell
Crystal system = tetragonal
Energy of formation = -4.7 eV per formula unit